No. 1
Compound: LaCeNd2N4
Source: Alexandria via LeMat-Bulk
Functional: GGA-PBE
Structure: optimized geometry

The crystal system is monoclinic. The size of the total moment comes out at 0.0 μB per formula unit. The calculation puts the density of states at the Fermi level at 3.395 states/eV/f.u. For the uncorrected formation energy, the calculation gives -134.38 kJ per mole of atoms.

abc: 3.6530 6.3252 6.3073
angles: 109.32 90.00 90.00
Last column: nearest neighbours and their distance in Å.
Positions (direct):
N1 0.0000 0.2383 0.7555  1 Ce 2.49, 3 Nd 2.57-2.66, 2 La 2.60
N2 0.0000 0.7617 0.2445  1 Ce 2.49, 3 Nd 2.57-2.66, 2 La 2.60
N3 0.5000 0.7624 0.7590  2 Ce 2.53, 3 Nd 2.56-2.64, 1 La 2.59
N4 0.5000 0.2376 0.2410  2 Ce 2.53, 3 Nd 2.56-2.64, 1 La 2.59
Nd1 0.0000 0.5000 0.5000  6 N 2.64-2.66
Nd2 0.5000 0.0000 0.5000  6 N 2.56-2.57
Ce1 0.0000 0.0000 0.0000  6 N 2.49-2.53
La1 0.5000 0.5000 0.0000  6 N 2.59-2.60


No. 2
Compound: Li2Zn5Au12
Source: Alexandria via LeMat-Bulk
Functional: GGA-PBE
Structure: optimized geometry

The crystal system is monoclinic. The size of the total moment comes out at 0.0 μB per formula unit. The calculation puts the density of states at the Fermi level at 4.963 states/eV/f.u. The energy of formation from the pure elements is -0.22 eV/atom.

abc: 8.0236 8.0236 7.1783
angles: 101.57 110.35 120.62
Last column: nearest neighbours and their distance in Å.
Positions (direct):
Au1 0.6873 0.1908 0.2442  4 Zn 2.80-3.03, 7 Au 2.87-3.11
Au2 0.8077 0.1141 0.9219  3 Zn 2.60-2.77, 2 Li 2.72, 2 Au 2.87
Au3 0.8643 0.0405 0.5394  4 Zn 2.67-2.90, 6 Au 2.76-2.94, 1 Li 2.91
Au4 0.4990 0.6751 0.5394  4 Zn 2.67-2.90, 6 Au 2.76-2.94, 1 Li 2.91
Au5 0.9466 0.4431 0.7558  4 Zn 2.80-3.03, 7 Au 2.87-3.11
Au6 0.6579 0.5625 0.2204  3 Zn 2.62-2.72, 2 Li 2.70, 3 Au 2.83-2.93
Au7 0.1923 0.8859 0.0781  3 Zn 2.60-2.77, 2 Li 2.72, 2 Au 2.87
Au8 0.1357 0.9595 0.4606  4 Zn 2.67-2.90, 6 Au 2.76-2.94, 1 Li 2.91
Au9 0.5010 0.3249 0.4606  4 Zn 2.67-2.90, 6 Au 2.76-2.94, 1 Li 2.91
Au10 0.3127 0.8092 0.7558  4 Zn 2.80-3.03, 7 Au 2.87-3.11
Au11 0.0534 0.5569 0.2442  4 Zn 2.80-3.03, 7 Au 2.87-3.11
Au12 0.3421 0.4375 0.7796  3 Zn 2.62-2.72, 2 Li 2.70, 3 Au 2.83-2.93
Zn1 0.9107 0.7485 0.6592  8 Au 2.60-2.80
Zn2 0.0893 0.2515 0.3408  8 Au 2.60-2.80
Zn3 0.5833 0.2888 0.8721  7 Au 2.62-2.90, 1 Zn 2.77
Zn4 0.5000 0.0000 0.5000  10 Au 2.67-2.95, 2 Zn 2.77
Zn5 0.4167 0.7111 0.1279  7 Au 2.62-2.90, 1 Zn 2.77
Li1 0.7888 0.7888 0.0000  6 Au 2.70-2.91, 2 Zn 2.95
Li2 0.2112 0.2112 0.0000  6 Au 2.70-2.91, 2 Zn 2.95


No. 3
Compound: Ni2RuWI
Source: Alexandria via LeMat-Bulk
Functional: GGA-PBE
Structure: optimized geometry

The crystal system is tetragonal. The excess energy over the best structure of this formula in the dataset is 0 meV per atom. The size of the total moment comes out at 2.0 μB per formula unit. The calculation puts the density of states at the Fermi level at 7.073 states/eV/f.u. For the uncorrected formation energy, the calculation gives 178.93 kJ per mole of atoms.

abc: 4.5186 5.1608 4.5186
angles: 90.00 90.00 90.00
Last column: nearest neighbours and their distance in Å.
Positions (direct):
Ru1 0.5000 0.5000 0.5000  4 I 3.20, 8 Ni 3.43
W1 0.0000 0.0000 0.0000  4 Ni 2.26
Ni1 0.0000 0.0000 0.5000  2 W 2.26
Ni2 0.5000 0.0000 0.0000  2 W 2.26
I1 0.0000 0.5000 0.0000  2 W 2.58


No. 4
Compound: NaCaBiPt
Source: Alexandria via LeMat-Bulk
Functional: GGA-PBE
Structure: optimized geometry

The crystal system is cubic. The size of the total moment comes out at 0.0 μB per formula unit. The calculation puts the density of states at the Fermi level at 1.142 states/eV/f.u. The energy of formation from the pure elements is -0.54 eV/atom.

abc: 5.0431 5.0431 5.0431
angles: 60.00 60.00 60.00
Last column: nearest neighbours and their distance in Å.
Positions (direct):
Bi1 0.0000 0.0000 0.0000  4 Na 3.09, 4 Pt 3.09
Na1 0.2500 0.2500 0.2500  4 Bi 3.09, 4 Ca 3.09
Pt1 0.7500 0.7500 0.7500  4 Bi 3.09, 4 Ca 3.09
Ca1 0.5000 0.5000 0.5000  4 Na 3.09, 4 Pt 3.09


No. 5
Compound: MnHgRuS
Source: Alexandria via LeMat-Bulk
Functional: GGA-PBE
Structure: optimized geometry

The crystal system is trigonal. The excess energy over the best structure of this formula in the dataset is 37 meV per atom. The size of the total moment comes out at 2.6 μB per formula unit. The calculation puts the density of states at the Fermi level at 2.743 states/eV/f.u. For the uncorrected formation energy, the calculation gives 11.61 kJ per mole of atoms.

abc: 6.7441 3.4794 6.0266
angles: 90.00 107.30 90.00
Last column: nearest neighbours and their distance in Å.
Positions (direct):
Ru1 0.8235 0.0000 0.4952  3 S 2.26
Ru2 0.8235 0.5000 0.9952  3 S 2.26
Mn1 0.1507 0.0000 0.2709  3 S 2.28
Mn2 0.1507 0.5000 0.7709  3 S 2.28
Hg1 0.4861 0.0000 0.0493  3 Mn 2.95, 3 Ru 2.96, 1 S 3.24
Hg2 0.4861 0.5000 0.5493  3 Mn 2.95, 3 Ru 2.96, 1 S 3.24
S1 0.9828 0.0000 0.8816  3 Ru 2.26, 3 Mn 2.28
S2 0.9828 0.5000 0.3816  3 Ru 2.26, 3 Mn 2.28


No. 6
Compound: Zr2GaPb2
Source: Alexandria via LeMat-Bulk
Functional: GGA-PBE
Structure: optimized geometry

The crystal system is tetragonal. The size of the total moment comes out at 0.0 μB per formula unit. The calculation puts the density of states at the Fermi level at 3.646 states/eV/f.u. The energy of formation from the pure elements is 0.11 eV/atom.

abc: 7.7620 7.7620 4.0634
angles: 90.00 90.00 90.00
Last column: nearest neighbours and their distance in Å.
Positions (direct):
Pb1 0.8489 0.6511 0.0000  2 Ga 2.95, 6 Zr 2.98-3.10
Pb2 0.1511 0.3489 0.0000  2 Ga 2.95, 6 Zr 2.98-3.10
Pb3 0.6511 0.1511 0.0000  2 Ga 2.95, 6 Zr 2.98-3.10
Pb4 0.3489 0.8489 0.0000  2 Ga 2.95, 6 Zr 2.98-3.10
Zr1 0.6508 0.8492 0.5000  6 Pb 2.98-3.10, 1 Zr 3.31
Zr2 0.8492 0.3492 0.5000  6 Pb 2.98-3.10, 1 Zr 3.31
Zr3 0.1508 0.6508 0.5000  6 Pb 2.98-3.10, 1 Zr 3.31
Zr4 0.3492 0.1508 0.5000  6 Pb 2.98-3.10, 1 Zr 3.31
Ga1 0.5000 0.5000 0.0000  4 Pb 2.95
Ga2 0.0000 0.0000 0.0000  4 Pb 2.95


No. 7
Compound: RbHfCd2
Source: Alexandria via LeMat-Bulk
Functional: GGA-PBE
Structure: optimized geometry

The crystal system is tetragonal. The excess energy over the best structure of this formula in the dataset is 147 meV per atom. The size of the total moment comes out at 0.9 μB per formula unit. The calculation puts the density of states at the Fermi level at 2.155 states/eV/f.u. The energy of formation from the pure elements is 0.77 eV/atom.

abc: 8.5889 8.5889 7.1156
angles: 52.88 52.88 90.00
Last column: nearest neighbours and their distance in Å.
Positions (direct):
Hf1 0.0000 0.0000 0.0000  4 Cd 2.88
Hf2 0.7500 0.2500 0.5000  4 Cd 2.88
Cd1 0.3750 0.3206 0.7500  2 Hf 2.88
Cd2 0.8750 0.9294 0.7500  2 Hf 2.88
Cd3 0.6794 0.1250 0.2500  2 Hf 2.88
Cd4 0.0706 0.6250 0.2500  2 Hf 2.88
Rb1 0.5000 0.5000 0.0000  8 Cd 3.51-3.89, 2 Hf 3.71
Rb2 0.2500 0.7500 0.5000  8 Cd 3.51-3.89, 2 Hf 3.71


No. 8
Compound: In4HgBr
Source: Alexandria via LeMat-Bulk
Functional: GGA-PBE
Structure: optimized geometry

The crystal system is cubic. The size of the total moment comes out at 0.0 μB per formula unit. The calculation puts the density of states at the Fermi level at 2.258 states/eV/f.u. For the uncorrected formation energy, the calculation gives -2.59 kJ per mole of atoms.

abc: 6.3331 6.3331 6.3331
angles: 60.00 60.00 60.00
Last column: nearest neighbours and their distance in Å.
Positions (direct):
In1 0.3747 0.8759 0.3747  6 In 3.16-3.17
In2 0.3747 0.3747 0.3747  6 In 3.16-3.17
In3 0.8759 0.3747 0.3747  6 In 3.16-3.17
In4 0.3747 0.3747 0.8759  6 In 3.16-3.17
Hg1 0.0000 0.0000 0.0000  12 In 3.71, 4 Br 3.88
Br1 0.7500 0.7500 0.7500  12 In 3.71, 4 Hg 3.88


No. 9
Compound: La2TbDyTl2
Source: Alexandria via LeMat-Bulk
Functional: GGA-PBE
Structure: optimized geometry

The crystal system is orthorhombic. The size of the total moment comes out at 0.0 μB per formula unit. The calculation puts the density of states at the Fermi level at 6.138 states/eV/f.u. The energy of formation from the pure elements is -0.29 eV/atom.

abc: 5.1283 6.9598 10.3178
angles: 90.00 90.00 90.00
Last column: nearest neighbours and their distance in Å.
Positions (direct):
Tl1 0.5000 0.2184 0.3885  2 Dy 3.15-3.25, 4 Tb 3.22-3.44, 3 La 3.42-3.50
Tl2 0.0000 0.7978 0.1494  2 Dy 3.17, 1 Tb 3.37, 4 La 3.38-3.40
Tl3 0.5000 0.7184 0.6115  2 Dy 3.15-3.25, 4 Tb 3.22-3.44, 3 La 3.42-3.50
Tl4 0.0000 0.2978 0.8506  2 Dy 3.17, 1 Tb 3.37, 4 La 3.38-3.40
Dy1 0.5000 0.6703 0.3078  4 Tl 3.15-3.25
Dy2 0.5000 0.1703 0.6922  4 Tl 3.15-3.25
Tb1 0.0000 0.4575 0.5422  5 Tl 3.22-3.44, 2 Tb 3.59, 2 Dy 3.60
Tb2 0.0000 0.9575 0.4578  5 Tl 3.22-3.44, 2 Tb 3.59, 2 Dy 3.60
La1 0.5000 0.0906 0.0605  2 La 3.23, 3 Tl 3.40-3.50
La2 0.5000 0.5906 0.9395  2 La 3.23, 3 Tl 3.40-3.50
La3 0.0000 0.8110 0.8219  2 La 3.23, 5 Tl 3.38-3.58
La4 0.0000 0.3110 0.1781  2 La 3.23, 5 Tl 3.38-3.58


No. 10
Compound: Na3IF2
Source: Alexandria via LeMat-Bulk
Functional: GGA-PBE
Structure: optimized geometry

The crystal system is orthorhombic. The size of the total moment comes out at 0.0 μB per formula unit. The calculation puts the density of states at the Fermi level at 0.000 states/eV/f.u. For the uncorrected formation energy, the calculation gives -212.88 kJ per mole of atoms.

abc: 4.3707 4.5632 6.7422
angles: 109.78 108.91 90.00
Last column: nearest neighbours and their distance in Å.
Positions (direct):
Na1 0.7601 0.9672 0.5202  4 F 2.33-2.35
Na2 0.2399 0.4470 0.4798  4 F 2.33-2.35
Na3 0.0000 0.7073 0.0000  2 F 2.30
F1 0.1928 0.8999 0.3856  5 Na 2.30-2.35
F2 0.8072 0.5143 0.6144  5 Na 2.30-2.35
I1 0.5000 0.2072 0.0000  4 Na 3.16


- The highest size of the total moment belongs to which entry?
  MnHgRuS